Record 1
This record from the Alexandria database describes an optimized crystal structure of MgCu6Si. The functional is PBE.

Computed properties:
Total magnetization in μB per atom: 0.0000
Energy relative to the elements, uncorrected in eV per atom: 0.252
Total energy in eV/cell: -29.58

a b c (Å): 6.6602 6.6602 6.6602
angles (deg): 44.37 44.37 44.37
With the nearest neighbours (Å) after each atom.
Sites, in units of the cell vectors:
Mg1 0.0000 0.0000 0.0000  12 Cu 2.80
Cu1 0.0603 0.5719 0.5719  1 Si 2.31, 5 Cu 2.45-2.57
Cu2 0.4281 0.4281 0.9397  1 Si 2.31, 5 Cu 2.45-2.57
Cu3 0.4281 0.9397 0.4281  1 Si 2.31, 5 Cu 2.45-2.57
Cu4 0.5719 0.0603 0.5719  1 Si 2.31, 5 Cu 2.45-2.57
Cu5 0.5719 0.5719 0.0603  1 Si 2.31, 5 Cu 2.45-2.57
Cu6 0.9397 0.4281 0.4281  1 Si 2.31, 5 Cu 2.45-2.57
Si1 0.5000 0.5000 0.5000  6 Cu 2.31



Record 2
This record from the Alexandria database describes an optimized crystal structure of MgCuSi2. The functional is PBE.

Computed properties:
Total magnetization in μB per atom: 0.0000
Energy relative to the elements, uncorrected in eV per atom: 0.158
Total energy in eV/cell: -15.91

a b c (Å): 4.3572 4.3572 5.5212
angles (deg): 103.92 103.92 39.58
With the nearest neighbours (Å) after each atom.
Sites, in units of the cell vectors:
Mg1 0.0000 0.0000 0.0000  5 Si 2.80-2.88, 3 Cu 2.80-3.03, 2 Mg 2.95
Cu1 0.7536 0.7536 0.3264  5 Si 2.39-2.59
Si1 0.2334 0.2334 0.7027  3 Si 2.58-2.84, 2 Cu 2.59, 3 Mg 2.80-2.82
Si2 0.4930 0.4930 0.4462  3 Cu 2.39-2.41, 2 Si 2.58